Entry 1:
The following is a DFT calculation (GGA-PBE) of a relaxed BeCo2Re crystal.

Summary:
Fermi-level density of states: 3.48 states/eV per cell
Total moment: 0.404 μB/atom
Energy of formation from the pure elements: 48 meV/atom

Lattice parameters (Å, degrees): 2.5850 3.4779 5.0076 90.00 90.00 90.00
Last column: nearest neighbours and their distance in Å.
Atoms (fractional coordinates):
Re 0.0000 0.0000 0.4938  6 Co 2.40-2.61, 2 Re 2.59, 4 Be 2.60
Co 0.0000 0.0000 0.9735  4 Be 2.37, 2 Re 2.40-2.61, 6 Co 2.57-2.59
Co 0.5000 0.5000 0.2500  1 Be 2.34, 4 Re 2.49, 6 Co 2.57-2.59
Be 0.5000 0.5000 0.7826  5 Co 2.34-2.37, 2 Be 2.59, 4 Re 2.60

---

Entry 2:
The following is a DFT calculation (GGA-PBE) of a relaxed BeCo2Re crystal.

Summary:
Fermi-level density of states: 4.63 states/eV per cell
Total moment: 0.346 μB/atom
Energy of formation from the pure elements: -19 meV/atom

Lattice parameters (Å, degrees): 2.6775 2.6775 6.0719 90.00 90.00 90.00
Last column: nearest neighbours and their distance in Å.
Atoms (fractional coordinates):
Re 0.0000 0.0000 0.5140  4 Be 2.50, 5 Co 2.55-2.78, 4 Re 2.68
Co 0.0000 0.0000 0.9714  4 Be 2.21, 4 Co 2.47
Co 0.5000 0.5000 0.2316  8 Co 2.47-2.68, 4 Re 2.55, 1 Be 2.72
Be 0.5000 0.5000 0.7830  4 Co 2.21

---

Entry 3:
The following is a DFT calculation (GGA-PBE) of a relaxed BeCo2Re crystal.

Summary:
Fermi-level density of states: 5.13 states/eV per cell
Total moment: 0.373 μB/atom
Energy of formation from the pure elements: 113 meV/atom

Lattice parameters (Å, degrees): 7.8060 7.8060 7.8060 19.37 19.37 19.37
Last column: nearest neighbours and their distance in Å.
Atoms (fractional coordinates):
Re 0.2500 0.2500 0.2500  6 Co 2.59, 6 Re 2.63
Co 0.0079 0.0079 0.0079  3 Be 2.30
Co 0.4921 0.4921 0.4921  3 Be 2.30
Be 0.7500 0.7500 0.7500  6 Co 2.30

---

Entry 4:
The following is a DFT calculation (GGA-PBE) of a relaxed BeCoRe crystal.

Summary:
Fermi-level density of states: 4.61 states/eV per cell
Excess energy over the best structure of this formula in the dataset: 0.215 eV/atom
Total moment: 0.040 μB/atom
Energy of formation from the pure elements: -51 meV/atom

Lattice parameters (Å, degrees): 2.7451 6.9375 3.5779 90.00 90.00 101.43
Last column: nearest neighbours and their distance in Å.
Atoms (fractional coordinates):
Be 0.8108 0.5295 0.0431  5 Co 2.11-2.35, 2 Be 2.12
Be 0.8955 0.6956 0.5431  2 Be 2.12, 2 Co 2.25
Co 0.6571 0.2187 0.0430  1 Be 2.11
Co 0.2641 0.4339 0.5430  6 Be 2.25-2.35
Re 0.0789 0.0628 0.5430  5 Co 2.49-2.52, 1 Be 2.50, 6 Re 2.75
Re 0.4628 0.8308 0.0430  6 Be 2.43-2.47, 1 Co 2.64

---

Entry 5:
The following is a DFT calculation (GGA-PBE) of a relaxed BeCo2Re crystal.

Summary:
Fermi-level density of states: 2.68 states/eV per cell
Total moment: 0.000 μB/atom
Energy of formation from the pure elements: -188 meV/atom

Lattice parameters (Å, degrees): 2.6363 2.6363 6.1677 90.00 90.00 90.00
Last column: nearest neighbours and their distance in Å.
Atoms (fractional coordinates):
Re 0.5000 0.5000 0.2500  8 Co 2.57, 4 Re 2.64
Co 0.0000 0.0000 0.9632  4 Be 2.28
Co 0.0000 0.0000 0.5368  4 Be 2.28
Be 0.5000 0.5000 0.7500  8 Co 2.28

---

Entry 6:
The following is a DFT calculation (GGA-PBE) of a relaxed BeCoRe crystal.

Summary:
Fermi-level density of states: 10.40 states/eV per cell
Excess energy over the best structure of this formula in the dataset: 0.238 eV/atom
Total moment: 0.000 μB/atom
Energy of formation from the pure elements: -28 meV/atom

Lattice parameters (Å, degrees): 4.3931 3.5660 8.6040 90.00 90.00 90.00
Last column: nearest neighbours and their distance in Å.
Atoms (fractional coordinates):
Re 0.7893 0.2500 0.4679  5 Co 2.48-2.59, 2 Be 2.62-2.74, 2 Re 2.63
Re 0.7107 0.7500 0.9679  5 Co 2.48-2.59, 2 Be 2.62-2.74, 2 Re 2.63
Re 0.2107 0.7500 0.5321  5 Co 2.48-2.59, 2 Be 2.62-2.74, 2 Re 2.63
Re 0.2893 0.2500 0.0321  5 Co 2.48-2.59, 2 Be 2.62-2.74, 2 Re 2.63
Co 0.2758 0.2500 0.3197  4 Be 2.15-2.20
Co 0.2242 0.7500 0.8197  4 Be 2.15-2.20
Co 0.7242 0.7500 0.6803  4 Be 2.15-2.20
Co 0.7758 0.2500 0.1803  4 Be 2.15-2.20
Be 0.9783 0.2500 0.7566  4 Co 2.15-2.20, 2 Be 2.20
Be 0.5217 0.7500 0.2566  4 Co 2.15-2.20, 2 Be 2.20
Be 0.0217 0.7500 0.2434  4 Co 2.15-2.20, 2 Be 2.20
Be 0.4783 0.2500 0.7434  4 Co 2.15-2.20, 2 Be 2.20

---

Entry 7:
The following is a DFT calculation (GGA-PBE) of a relaxed BeCoRe crystal.

Summary:
Fermi-level density of states: 0.10 states/eV per cell
Excess energy over the best structure of this formula in the dataset: 0.415 eV/atom
Total moment: 0.000 μB/atom
Energy of formation from the pure elements: 149 meV/atom

Lattice parameters (Å, degrees): 3.7758 3.7758 3.7758 60.00 60.00 60.00
Last column: nearest neighbours and their distance in Å.
Atoms (fractional coordinates):
Re 0.2500 0.2500 0.2500  4 Co 2.31
Co 0.5000 0.5000 0.5000  4 Re 2.31, 4 Be 2.31
Be 0.7500 0.7500 0.7500  4 Co 2.31

---

Entry 8:
The following is a DFT calculation (GGA-PBE) of a relaxed BeCoRe crystal.

Summary:
Fermi-level density of states: 4.41 states/eV per cell
Excess energy over the best structure of this formula in the dataset: 0.187 eV/atom
Total moment: 0.065 μB/atom
Energy of formation from the pure elements: -79 meV/atom

Lattice parameters (Å, degrees): 2.6332 6.3042 4.5174 77.28 106.92 77.94
Last column: nearest neighbours and their distance in Å.
Atoms (fractional coordinates):
Be 0.1276 0.5079 0.0378  4 Co 2.24-2.28, 2 Be 2.28
Be 0.3205 0.6964 0.6123  2 Be 2.28, 2 Co 2.30, 3 Re 2.50-2.52
Co 0.7529 0.2216 0.0015  2 Be 2.24-2.25, 1 Re 2.48
Co 0.8931 0.4274 0.4883  4 Be 2.28-2.30, 2 Re 2.50
Re 0.5856 0.0766 0.5237  5 Co 2.48-2.53, 2 Be 2.61-2.62, 3 Re 2.63-2.68
Re 0.4893 0.8415 0.0946  5 Be 2.50-2.52, 3 Co 2.61, 5 Re 2.63-2.79